[1]
# Sm2DyCdC

Sm2DyCdC after structural relaxation (PBE-GGA, Alexandria).

Properties
The total energy comes out at -5.070 eV per atom. The space-group type is No. 123.

Cell lengths 4.8765, 5.0906, 5.0906 Å; angles 90.00, 90.00, 90.00 degrees
Closest atoms and distances in Å follow each position.
Element x y z (fractional)
1 C 0.0000 0.0000 0.0000  2 Dy 2.44, 4 Sm 2.55
2 Cd 0.5000 0.5000 0.5000  8 Sm 3.52, 4 Dy 3.60
3 Sm 0.0000 0.5000 0.0000  2 C 2.55
4 Sm 0.0000 0.0000 0.5000  2 C 2.55
5 Dy 0.5000 0.0000 0.0000  2 C 2.44

[2]
# Nd8Ge3SbTe4

Nd8Ge3SbTe4 after structural relaxation (PBE-GGA, Alexandria).

Properties
The energy relative to the elements, uncorrected is -20.18 eV per formula unit. The total energy comes out at -5.554 eV per atom. The space-group type is No. 166.

Cell lengths 8.8435, 8.9442, 8.8432 Å; angles 119.63, 120.00, 90.00 degrees
Closest atoms and distances in Å follow each position.
Element x y z (fractional)
1 Sb 0.0000 0.5000 0.0000  6 Nd 3.12
2 Te 0.5000 0.0000 0.5000  6 Nd 3.26-3.27
3 Te 0.5000 0.0000 0.0000  6 Nd 3.18
4 Te 0.0000 0.0000 0.0000  6 Nd 3.26-3.27
5 Te 0.0000 0.0000 0.5000  6 Nd 3.26-3.27
6 Ge 0.0000 0.5000 0.5000  6 Nd 3.02-3.04
7 Ge 0.5000 0.5000 0.5000  6 Nd 3.02-3.04
8 Ge 0.5000 0.5000 0.0000  6 Nd 3.02-3.04
9 Nd 0.2584 0.2753 0.5169  3 Ge 3.04, 3 Te 3.26
10 Nd 0.2477 0.7282 0.9806  2 Ge 3.02, 1 Sb 3.12, 3 Te 3.18-3.27
11 Nd 0.2671 0.2718 0.0194  2 Ge 3.02, 1 Sb 3.12, 3 Te 3.18-3.27
12 Nd 0.7523 0.2718 0.0194  2 Ge 3.02, 1 Sb 3.12, 3 Te 3.18-3.27
13 Nd 0.7523 0.2718 0.5047  2 Ge 3.02, 1 Sb 3.12, 3 Te 3.18-3.27
14 Nd 0.7416 0.7247 0.4831  3 Ge 3.04, 3 Te 3.26
15 Nd 0.7329 0.7282 0.9806  2 Ge 3.02, 1 Sb 3.12, 3 Te 3.18-3.27
16 Nd 0.2477 0.7282 0.4953  2 Ge 3.02, 1 Sb 3.12, 3 Te 3.18-3.27

[3]
# Pm2TiTl

Pm2TiTl after structural relaxation (PBE-GGA, Alexandria).

Properties
The total energy comes out at -4.913 eV per atom. As for the energy above the most stable polymorph in this dataset: 19.9 meV per atom. The space-group type is No. 123.

Cell lengths 3.4370, 3.4370, 9.2958 Å; angles 90.00, 90.00, 90.00 degrees
Closest atoms and distances in Å follow each position.
Element x y z (fractional)
1 Pm 0.0000 0.0000 0.7619  4 Ti 3.29, 4 Pm 3.44, 4 Tl 3.44
2 Pm 0.0000 0.0000 0.2381  4 Ti 3.29, 4 Pm 3.44, 4 Tl 3.44
3 Ti 0.5000 0.5000 0.0000  8 Pm 3.29, 4 Ti 3.44
4 Tl 0.5000 0.5000 0.5000  4 Tl 3.44, 8 Pm 3.44

[4]
# Hf2PaCrC4

Hf2PaCrC4 after structural relaxation (PBE-GGA, Alexandria).

Properties
The total energy comes out at -9.975 eV per atom. The space-group type is No. 63.

Cell lengths 3.2835, 5.8932, 11.2096 Å; angles 90.00, 90.00, 106.18 degrees
Closest atoms and distances in Å follow each position.
Element x y z (fractional)
1 Hf 0.6301 0.2601 0.4559  6 C 2.22-2.42
2 Hf 0.6301 0.2601 0.0441  6 C 2.22-2.42
3 Hf 0.3699 0.7399 0.9559  6 C 2.22-2.42
4 Hf 0.3699 0.7399 0.5441  6 C 2.22-2.42
5 C 0.2658 0.5315 0.3766  1 Cr 1.83
6 C 0.7342 0.4685 0.8766  1 Cr 1.83
7 C 0.2658 0.5315 0.1234  1 Cr 1.83
8 C 0.4348 0.8696 0.7500  2 Cr 1.99
9 C 0.5652 0.1304 0.2500  2 Cr 1.99
10 C 0.7342 0.4685 0.6234  1 Cr 1.83
11 C 0.0000 0.0000 0.0000  4 Hf 2.26
12 C 0.0000 0.0000 0.5000  4 Hf 2.26
13 Cr 0.1638 0.3276 0.2500  4 C 1.83-1.99
14 Cr 0.8362 0.6724 0.7500  4 C 1.83-1.99
15 Pa 0.9006 0.8012 0.2500  6 C 2.48-2.65
16 Pa 0.0994 0.1988 0.7500  6 C 2.48-2.65

[5]
# Sc2MnGaH

Sc2MnGaH after structural relaxation (PBE-GGA, Alexandria).

Properties
The total energy comes out at -6.010 eV per atom. The space-group type is No. 123.

Cell lengths 4.4278, 4.4278, 3.7180 Å; angles 90.00, 90.00, 90.00 degrees
Closest atoms and distances in Å follow each position.
Element x y z (fractional)
1 Ga 0.5000 0.5000 0.5000  8 Sc 2.89, 4 Mn 3.13
2 Sc 0.0000 0.5000 0.0000  2 H 2.21
3 Sc 0.5000 0.0000 0.0000  2 H 2.21
4 Mn 0.0000 0.0000 0.5000  2 H 1.86
5 H 0.0000 0.0000 0.0000  2 Mn 1.86

[6]
# TlSN3

TlSN3 after structural relaxation (PBE-GGA, Alexandria).

Properties
The energy relative to the elements, uncorrected is 14.67 eV per formula unit. The total energy comes out at -3.359 eV per atom. The space-group type is No. 221.

Cell lengths 4.3865, 4.3865, 4.3865 Å; angles 90.00, 90.00, 90.00 degrees
Closest atoms and distances in Å follow each position.
Element x y z (fractional)
1 Tl 0.0000 0.0000 0.0000  6 N 2.19
2 N 0.5000 0.0000 0.0000  2 Tl 2.19
3 N 0.0000 0.0000 0.5000  2 Tl 2.19
4 N 0.0000 0.5000 0.0000  2 Tl 2.19
5 S 0.5000 0.5000 0.5000  12 N 3.10

[7]
# Tm2HAu

Tm2HAu after structural relaxation (PBE-GGA, Alexandria).

Properties
The total energy comes out at -4.359 eV per atom. The space-group type is No. 166.

Cell lengths 3.8271, 3.8271, 6.7934 Å; angles 73.64, 73.64, 60.00 degrees
Closest atoms and distances in Å follow each position.
Element x y z (fractional)
1 Au 0.0000 0.0000 0.0000  6 Tm 2.88
2 Tm 0.7627 0.7627 0.7119  3 H 2.60, 3 Au 2.88
3 Tm 0.2373 0.2373 0.2881  3 H 2.60, 3 Au 2.88
4 H 0.5000 0.5000 0.5000  6 Tm 2.60

[8]
# CaLa3Mg2

CaLa3Mg2 after structural relaxation (PBE-GGA, Alexandria).

Properties
The total energy comes out at -3.382 eV per atom. The space-group type is No. 123.

Cell lengths 3.9953, 3.9953, 12.7777 Å; angles 90.00, 90.00, 90.00 degrees
Closest atoms and distances in Å follow each position.
Element x y z (fractional)
1 La 0.0000 0.0000 0.2994  4 Mg 3.40
2 La 0.0000 0.0000 0.0000  8 Mg 3.43, 2 La 3.83
3 La 0.0000 0.0000 0.7006  4 Mg 3.40
4 Mg 0.5000 0.5000 0.8483  8 La 3.40-3.43
5 Mg 0.5000 0.5000 0.1517  8 La 3.40-3.43
6 Ca 0.5000 0.5000 0.5000  8 La 3.81, 4 Ca 4.00

[9]
# ZnMoRu

ZnMoRu after structural relaxation (PBE-GGA, Alexandria).

Properties
The total energy comes out at -7.106 eV per atom. As for the energy above the most stable polymorph in this dataset: 35.6 meV per atom. The space-group type is No. 44.

Cell lengths 4.7231, 4.7231, 4.7231 Å; angles 144.97, 133.31, 59.68 degrees
Closest atoms and distances in Å follow each position.
Element x y z (fractional)
1 Mo 0.9977 0.9977 0.0000  5 Zn 2.69-2.74, 5 Ru 2.71-2.75, 2 Mo 2.84
2 Zn 0.6689 0.6689 0.0000  5 Mo 2.69-2.74, 5 Ru 2.71-2.75, 2 Zn 2.84
3 Ru 0.3334 0.3334 0.0000  5 Mo 2.71-2.75, 5 Zn 2.71-2.75, 2 Ru 2.84

[10]
# ZrGeCl3

ZrGeCl3 after structural relaxation (PBE-GGA, Alexandria).

Properties
The energy relative to the elements, uncorrected is 0.20 eV per formula unit. The total energy comes out at -3.701 eV per atom. As for the energy above the most stable polymorph in this dataset: 606.8 meV per atom. The space-group type is No. 221.

Cell lengths 5.1588, 5.1588, 5.1588 Å; angles 90.00, 90.00, 90.00 degrees
Closest atoms and distances in Å follow each position.
Element x y z (fractional)
1 Zr 0.5000 0.5000 0.5000  12 Cl 3.65
2 Cl 0.0000 0.5000 0.0000  2 Ge 2.58
3 Cl 0.5000 0.0000 0.0000  2 Ge 2.58
4 Cl 0.0000 0.0000 0.5000  2 Ge 2.58
5 Ge 0.0000 0.0000 0.0000  6 Cl 2.58

[11]
# BeAs2W

BeAs2W after structural relaxation (PBE-GGA, Alexandria).

Properties
The total energy comes out at -6.465 eV per atom. The space-group type is No. 38.

Cell lengths 3.3135, 3.3483, 5.8005 Å; angles 73.21, 90.00, 90.00 degrees
Closest atoms and distances in Å follow each position.
Element x y z (fractional)
1 Be 0.0000 0.7399 0.3957  5 As 2.35-2.40, 2 W 2.56
2 As 0.5000 0.2401 0.3940  4 Be 2.35-2.36, 2 W 2.58
3 As 0.0000 0.9560 0.9626  1 Be 2.40, 4 W 2.64
4 W 0.5000 0.5640 0.7477  2 Be 2.56, 6 As 2.58-2.64

[12]
# Nd3TmPb12

Nd3TmPb12 after structural relaxation (PBE-GGA, Alexandria).

Properties
The total energy comes out at -4.294 eV per atom. The space-group type is No. 123.

Cell lengths 4.9461, 4.9461, 19.4245 Å; angles 90.00, 90.00, 90.00 degrees
Closest atoms and distances in Å follow each position.
Element x y z (fractional)
1 Tm 0.0000 0.0000 0.0000  12 Pb 3.41-3.50
2 Pb 0.0000 0.5000 0.8790  8 Pb 3.41-3.50, 2 Tm 3.41, 2 Nd 3.50
3 Pb 0.5000 0.5000 0.2477  8 Pb 3.48-3.49, 4 Nd 3.50
4 Pb 0.5000 0.0000 0.6260  4 Nd 3.47-3.48, 8 Pb 3.48-3.50
5 Pb 0.5000 0.0000 0.1210  8 Pb 3.41-3.50, 2 Tm 3.41, 2 Nd 3.50
6 Pb 0.5000 0.0000 0.8790  8 Pb 3.41-3.50, 2 Tm 3.41, 2 Nd 3.50
7 Pb 0.0000 0.5000 0.6260  4 Nd 3.47-3.48, 8 Pb 3.48-3.50
8 Pb 0.5000 0.5000 0.5000  8 Pb 3.48, 4 Nd 3.50
9 Pb 0.0000 0.5000 0.1210  8 Pb 3.41-3.50, 2 Tm 3.41, 2 Nd 3.50
10 Pb 0.5000 0.5000 0.0000  8 Pb 3.41, 4 Tm 3.50
11 Pb 0.5000 0.0000 0.3740  4 Nd 3.47-3.48, 8 Pb 3.48-3.50
12 Pb 0.5000 0.5000 0.7523  8 Pb 3.48-3.49, 4 Nd 3.50
13 Pb 0.0000 0.5000 0.3740  4 Nd 3.47-3.48, 8 Pb 3.48-3.50
14 Nd 0.0000 0.0000 0.7516  12 Pb 3.47-3.50
15 Nd 0.0000 0.0000 0.2484  12 Pb 3.47-3.50
16 Nd 0.0000 0.0000 0.5000  12 Pb 3.48-3.50